Record 1
An optimized crystal structure of AcSn5Ru2, computed with PBE.

Structure (POSCAR):
```
AcSn5Ru2
1.0
-3.021 0.628 -3.123
3.044 -1.846 -6.402
-1.679 -6.565 -2.782
Ac Ru Sn
1 2 5
Direct
0.000 0.000 0.000
0.214 0.286 0.286
0.786 0.714 0.714
0.654 0.558 0.134
0.654 0.134 0.558
0.346 0.866 0.442
0.346 0.442 0.866
0.000 0.500 0.500
```

Computed properties:
DFT formation energy, eV/atom: -0.239
D(E_F), states/eV per atom: 0.485
Uncorrected energy, Ha/atom: -0.2048

---

Record 2
An optimized crystal structure of KAl2Re, computed with PBE.

Structure (POSCAR):
```
KAl2Re
1.0
-4.790 1.729 4.164
-4.095 -4.653 2.204
5.724 3.185 -0.605
K Al Re
1 2 1
Direct
0.750 0.250 0.500
0.055 0.055 0.000
0.445 0.445 0.000
0.250 0.750 0.500
```

Computed properties:
DFT formation energy, eV/atom: 0.715
D(E_F), states/eV per atom: 0.865
Excess energy over the best structure of this formula in the dataset, eV/atom: 0.479
Uncorrected energy, Ha/atom: -0.1669

---

Record 3
An optimized crystal structure of TlCd2Au2, computed with PBE.

Structure (POSCAR):
```
TlCd2Au2
1.0
4.057 0.000 0.000
0.000 4.057 0.000
2.029 2.029 7.133
Cd Au Tl
2 2 1
Direct
0.394 0.394 0.211
0.606 0.606 0.789
0.250 0.750 0.500
0.750 0.250 0.500
0.000 0.000 0.000
```

Computed properties:
DFT formation energy, eV/atom: -0.031
D(E_F), states/eV per atom: 0.389
Excess energy over the best structure of this formula in the dataset, eV/atom: 0.090
Uncorrected energy, Ha/atom: -0.0802

---

Record 4
An optimized crystal structure of BaLiZnHg2, computed with PBE.

Structure (POSCAR):
```
BaLiZnHg2
1.0
5.177 0.000 0.000
0.000 5.177 0.000
0.000 0.000 5.045
Ba Zn Hg Li
1 1 2 1
Direct
0.500 0.500 0.500
0.000 0.000 0.500
0.000 0.500 0.000
0.500 0.000 0.000
0.000 0.000 0.000
```

Computed properties:
DFT formation energy, eV/atom: -0.248
D(E_F), states/eV per atom: 0.655
Excess energy over the best structure of this formula in the dataset, eV/atom: 0.000
Uncorrected energy, Ha/atom: -0.0511

---

Record 5
An optimized crystal structure of Ac6LaEr, computed with PBE.

Structure (POSCAR):
```
Ac6LaEr
1.0
6.007 0.000 2.250
1.454 7.489 5.262
0.050 2.272 9.012
Ac Er La
6 1 1
Direct
0.247 0.805 0.702
0.753 0.195 0.298
0.878 0.579 0.666
0.122 0.421 0.334
0.621 0.843 0.915
0.379 0.157 0.085
0.000 0.000 0.000
0.500 0.500 0.500
```

Computed properties:
DFT formation energy, eV/atom: 0.111
D(E_F), states/eV per atom: 1.691
Uncorrected energy, Ha/atom: -0.1528

---

Record 6
An optimized crystal structure of Na2CePaS5, computed with PBE.

Structure (POSCAR):
```
Na2CePaS5
1.0
5.034 0.000 0.000
0.000 5.034 0.000
0.000 0.000 10.625
Pa S Na Ce
1 5 2 1
Direct
0.000 0.000 0.500
0.000 0.000 0.748
0.500 0.000 0.500
0.500 0.500 0.000
0.000 0.000 0.252
0.000 0.500 0.500
0.500 0.500 0.733
0.500 0.500 0.267
0.000 0.000 0.000
```

Computed properties:
D(E_F), states/eV per atom: 0.787
Uncorrected energy, Ha/atom: -0.2058
Formation energy from raw total energies, kJ/mol of formula units: -1128